First-principles (PBE) data for a relaxed LaTiFe2 crystal, as listed in Alexandria via LeMat-Bulk.

Cell: 4.5396 4.5396 4.5396 Å, 60.00 60.00 60.00°
Last column: nearest neighbours and their distance in Å.
Positions (direct):
Ti  0.0000  0.0000  0.0000  8 Fe 2.78
Fe  0.2500  0.2500  0.2500  4 Ti 2.78, 4 La 2.78
Fe  0.7500  0.7500  0.7500  4 La 2.78, 4 Ti 2.78
La  0.5000  0.5000  0.5000  8 Fe 2.78

- Energy: -7.1429 eV per atom
- Theoretical density: 7.492 g/cm³
- ΔE_f: 28.37 kJ/mol of atoms



First-principles (PBE) data for a relaxed SrMo2W crystal, as listed in Alexandria via LeMat-Bulk.

Cell: 4.9802 4.9802 9.4709 Å, 74.76 74.76 90.00°
Last column: nearest neighbours and their distance in Å.
Positions (direct):
Sr  0.5000  0.5000  0.0000  4 W 3.52, 8 Mo 3.55
Sr  0.2500  0.7500  0.5000  4 W 3.52, 8 Mo 3.55
Mo  0.8751  0.1250  0.2500  2 Mo 2.49, 2 W 2.53
Mo  0.8749  0.6250  0.2500  2 Mo 2.49, 2 W 2.53
Mo  0.3750  0.1249  0.7500  2 Mo 2.49, 2 W 2.53
Mo  0.8750  0.1251  0.7500  2 Mo 2.49, 2 W 2.53
W  0.0000  0.0000  0.0000  4 Mo 2.53
W  0.7500  0.2500  0.5000  4 Mo 2.53

- Energy: -7.6625 eV per atom
- Theoretical density: 7.057 g/cm³
- ΔE_f: 136.22 kJ/mol of atoms



First-principles (PBE) data for a relaxed Cu2NiAg crystal, as listed in Alexandria via LeMat-Bulk.

Cell: 3.5474 2.7010 6.1190 Å, 63.85 90.00 90.00°
Last column: nearest neighbours and their distance in Å.
Positions (direct):
Ag  0.5000  0.7525  0.7476  4 Ni 2.69, 6 Cu 2.69-2.78, 2 Ag 2.70
Cu  0.0000  0.9774  0.0232  1 Ni 2.48, 6 Cu 2.56-2.70, 4 Ag 2.69-2.70
Cu  0.5000  0.2452  0.2543  4 Ni 2.54, 6 Cu 2.56-2.70, 2 Ag 2.71-2.78
Ni  0.0000  0.5249  0.4749  5 Cu 2.48-2.54, 4 Ag 2.69, 2 Ni 2.70

- Energy: -4.0758 eV per atom
- Theoretical density: 9.266 g/cm³
- ΔE_f: 12.58 kJ/mol of atoms



First-principles (PBE) data for a relaxed YCu2Ni9 crystal, as listed in Alexandria via LeMat-Bulk.

Cell: 4.7136 7.9979 7.9979 Å, 90.00 90.00 90.00°
Last column: nearest neighbours and their distance in Å.
Positions (direct):
Y  0.0000  0.5000  0.5000  16 Ni 2.94-3.15, 4 Cu 3.22
Y  0.0000  0.0000  0.0000  16 Ni 2.94-3.15, 4 Cu 3.22
Cu  0.0000  0.6147  0.1147  12 Ni 2.59-2.77, 1 Cu 2.59
Cu  0.0000  0.3853  0.8853  12 Ni 2.59-2.77, 1 Cu 2.59
Cu  0.0000  0.1147  0.3853  12 Ni 2.59-2.77, 1 Cu 2.59
Cu  0.0000  0.8853  0.6147  12 Ni 2.59-2.77, 1 Cu 2.59
Ni  0.5000  0.5000  0.0000  8 Ni 2.37
Ni  0.5000  0.0000  0.5000  8 Ni 2.37
Ni  0.5000  0.7105  0.5643  8 Ni 2.37-2.55
Ni  0.5000  0.2895  0.4357  8 Ni 2.37-2.55
Ni  0.5000  0.2105  0.9357  8 Ni 2.37-2.55
Ni  0.5000  0.7895  0.0643  8 Ni 2.37-2.55
Ni  0.5000  0.4357  0.7105  8 Ni 2.37-2.55
Ni  0.5000  0.5643  0.2895  8 Ni 2.37-2.55
Ni  0.5000  0.0643  0.2105  8 Ni 2.37-2.55
Ni  0.5000  0.9357  0.7895  8 Ni 2.37-2.55
Ni  0.7604  0.8211  0.3211  7 Ni 2.26-2.46
Ni  0.7604  0.1789  0.6789  7 Ni 2.26-2.46
Ni  0.7604  0.3211  0.1789  7 Ni 2.26-2.46
Ni  0.7604  0.6789  0.8211  7 Ni 2.26-2.46
Ni  0.2396  0.1789  0.6789  7 Ni 2.26-2.46
Ni  0.2396  0.8211  0.3211  7 Ni 2.26-2.46
Ni  0.2396  0.6789  0.8211  7 Ni 2.26-2.46
Ni  0.2396  0.3211  0.1789  7 Ni 2.26-2.46

- Energy: -5.6875 eV per atom
- Theoretical density: 8.198 g/cm³
- ΔE_f: -12.56 kJ/mol of atoms